VASP calculation (PBEsol) on a relaxed structure of Ta3BePd.

Cell and atoms, written as POSCAR:
```
Ta3BePd
1.0
4.3267 0.0000 0.0000
0.0000 4.3267 0.0000
0.0000 0.0000 4.3267
Ta Be Pd
3 1 1
direct
0.0000 0.5000 0.0000
0.0000 0.0000 0.5000
0.5000 0.0000 0.0000
0.0000 0.0000 0.0000
0.5000 0.5000 0.5000
```

Magnetization in μB per atom: 0.000
Formation enthalpy at 0 K in eV per atom: 0.53
Mass density in g cm⁻³: 13.5